1.
A crystal of Mg2InSb relaxed with PBEsol, computed with meta-GGA SCAN.

Results
VASP energy   -20.30 eV/atom
Energy above the most stable polymorph in this dataset   32.9 meV/atom

Cell lengths 3.4518, 4.9769, 6.0545 Å; angles 102.46, 90.00, 110.29 degrees
Element x y z (fractional)
Sb 0.5000 0.0000 0.0000
Mg 0.7502 0.5003 0.7368
Mg 0.2498 0.4997 0.2632
In 0.0000 0.0000 0.5000

2.
A crystal of BaAl2Te relaxed with PBEsol, computed with meta-GGA SCAN.

Results
VASP energy   -23.39 eV/atom

Cell lengths 4.5405, 4.6810, 6.3879 Å; angles 111.49, 110.82, 90.00 degrees
Element x y z (fractional)
Te 0.2274 0.7274 0.4547
Ba 0.4701 0.4701 0.9401
Al 0.0746 0.0746 0.1491
Al 0.7280 0.2280 0.4561

3.
A crystal of LiMg3 relaxed with PBEsol, computed with meta-GGA SCAN.

Results
VASP energy   -4.36 eV/atom
DFT formation energy   -0.03 eV per atom

Cell lengths 3.1481, 3.1481, 9.9451 Å; angles 90.00, 90.00, 120.00 degrees
Element x y z (fractional)
Mg 0.0000 0.0000 0.5000
Mg 0.6667 0.3333 0.7581
Mg 0.6667 0.3333 0.2419
Li 0.0000 0.0000 0.0000

4.
A crystal of HfNb2BiTe relaxed with PBEsol, computed with meta-GGA SCAN.

Results
VASP energy   -47.03 eV/atom

Cell lengths 5.1238, 5.1238, 5.5840 Å; angles 90.00, 90.00, 90.00 degrees
Element x y z (fractional)
Nb 0.0000 0.5000 0.0000
Nb 0.5000 0.0000 0.0000
Te 0.0000 0.0000 0.5000
Hf 0.5000 0.5000 0.5000
Bi 0.0000 0.0000 0.0000

Question: Which value of VASP energy does entry 4 give?
Answer: -47.03 eV/atom

Question: Look up the VASP energy of the first one.
Answer: -20.30 eV/atom

Question: What is the VASP energy in the third record?
Answer: -4.36 eV/atom